1.
# Sc2MnZn

A geometry-optimized Sc2MnZn structure (PBE, Alexandria via LeMat-Bulk).

abc: 4.9244 4.9244 5.3624
angles: 101.26 101.26 37.19
Fractional coordinates of all 4 atoms:
Sc (0.2488, 0.2488, 0.2528)
Sc (0.7512, 0.7512, 0.7472)
Mn (0.0000, 0.0000, 0.5000)
Zn (0.5000, 0.5000, 0.0000)

2.
# Sc2MnZn

A geometry-optimized Sc2MnZn structure (PBE, Alexandria via LeMat-Bulk).

abc: 3.1694 3.1694 7.5383
angles: 90.00 90.00 90.00
Fractional coordinates of all 4 atoms:
Sc (0.0000, 0.0000, 0.0000)
Sc (0.5000, 0.5000, 0.3433)
Mn (0.5000, 0.5000, 0.7689)
Zn (0.0000, 0.0000, 0.5880)

3.
# ScMnZn2

A geometry-optimized ScMnZn2 structure (PBE, Alexandria via LeMat-Bulk).

abc: 3.2063 3.2063 6.3650
angles: 90.00 90.00 90.00
Fractional coordinates of all 4 atoms:
Sc (0.0000, 0.0000, 0.0000)
Mn (0.0000, 0.0000, 0.5000)
Zn (0.5000, 0.5000, 0.2828)
Zn (0.5000, 0.5000, 0.7172)

4.
# Sc2MnZn

A geometry-optimized Sc2MnZn structure (PBE, Alexandria via LeMat-Bulk).

abc: 9.3376 9.3376 9.3376
angles: 19.33 19.33 19.33
Fractional coordinates of all 4 atoms:
Sc (0.0000, 0.0000, 0.0000)
Sc (0.2334, 0.2334, 0.2334)
Mn (0.4865, 0.4865, 0.4865)
Zn (0.7492, 0.7492, 0.7492)

5.
# ScMnZn2

A geometry-optimized ScMnZn2 structure (PBE, Alexandria via LeMat-Bulk).

abc: 4.0448 4.0448 4.0100
angles: 90.00 90.00 90.00
Fractional coordinates of all 4 atoms:
Sc (0.0000, 0.0000, 0.0000)
Mn (0.5000, 0.5000, 0.0000)
Zn (0.0000, 0.5000, 0.5000)
Zn (0.5000, 0.0000, 0.5000)

6.
# ScMn2Zn

A geometry-optimized ScMn2Zn structure (PBE, Alexandria via LeMat-Bulk).

abc: 4.9332 4.9332 4.9332
angles: 134.01 134.01 67.07
Fractional coordinates of all 4 atoms:
Sc (0.0000, 0.0000, 0.0000)
Mn (0.2500, 0.7500, 0.5000)
Mn (0.5000, 0.5000, 0.0000)
Zn (0.7500, 0.2500, 0.5000)

7.
# Sc6Mn2Zn

A geometry-optimized Sc6Mn2Zn structure (PBE, Alexandria via LeMat-Bulk).

abc: 7.7613 7.7613 7.7613
angles: 111.47 110.21 106.76
Fractional coordinates of all 18 atoms:
Sc (0.0247, 0.8150, 0.2097)
Sc (0.2368, 0.5301, 0.2933)
Sc (0.2368, 0.9435, 0.7067)
Sc (0.2800, 0.3137, 0.5937)
Sc (0.2800, 0.6863, 0.9663)
Sc (0.3947, 0.1850, 0.2097)
Sc (0.6053, 0.8150, 0.7903)
Sc (0.7200, 0.3137, 0.0337)
Sc (0.7200, 0.6863, 0.4063)
Sc (0.7632, 0.0565, 0.2933)
Sc (0.7632, 0.4699, 0.7067)
Sc (0.9753, 0.1850, 0.7903)
Mn (0.0000, 0.1248, 0.1248)
Mn (0.0000, 0.8752, 0.8752)
Mn (0.3874, 0.3874, 0.0000)
Mn (0.6126, 0.6126, 0.0000)
Zn (0.0000, 0.5000, 0.5000)
Zn (0.5000, 0.0000, 0.5000)

8.
# ScMnZn2

A geometry-optimized ScMnZn2 structure (PBE, Alexandria via LeMat-Bulk).

abc: 5.3089 5.3089 5.3089
angles: 145.35 128.91 63.21
Fractional coordinates of all 4 atoms:
Sc (0.0000, 0.0000, 0.0000)
Mn (0.7406, 0.2406, 0.5000)
Zn (0.2711, 0.7711, 0.5000)
Zn (0.4958, 0.4958, 0.0000)

9.
# Sc2MnZn2

A geometry-optimized Sc2MnZn2 structure (PBE, Alexandria via LeMat-Bulk).

abc: 6.5776 6.5776 4.0474
angles: 90.00 90.00 90.00
Fractional coordinates of all 10 atoms:
Sc (0.1828, 0.3172, 0.0000)
Sc (0.3172, 0.8172, 0.0000)
Sc (0.6828, 0.1828, 0.0000)
Sc (0.8172, 0.6828, 0.0000)
Mn (0.0000, 0.0000, 0.5000)
Mn (0.5000, 0.5000, 0.5000)
Zn (0.1316, 0.6316, 0.5000)
Zn (0.3684, 0.1316, 0.5000)
Zn (0.6316, 0.8684, 0.5000)
Zn (0.8684, 0.3684, 0.5000)

10.
# ScMnZn3

A geometry-optimized ScMnZn3 structure (PBE, Alexandria via LeMat-Bulk).

abc: 4.5718 4.5718 4.5718
angles: 90.00 90.00 90.00
Fractional coordinates of all 5 atoms:
Sc (0.0000, 0.0000, 0.0000)
Mn (0.5000, 0.5000, 0.5000)
Zn (0.0000, 0.5000, 0.5000)
Zn (0.5000, 0.0000, 0.5000)
Zn (0.5000, 0.5000, 0.0000)

11.
# ScMnZn2

A geometry-optimized ScMnZn2 structure (PBE, Alexandria via LeMat-Bulk).

abc: 10.0494 10.0494 10.0494
angles: 157.97 157.97 31.35
Fractional coordinates of all 8 atoms:
Sc (0.0000, 0.0000, 0.0000)
Sc (0.7500, 0.2500, 0.5000)
Mn (0.2500, 0.7500, 0.5000)
Mn (0.5000, 0.5000, 0.0000)
Zn (0.1541, 0.6250, 0.0291)
Zn (0.3750, 0.4041, 0.5291)
Zn (0.5959, 0.1250, 0.9709)
Zn (0.8750, 0.8459, 0.4709)

12.
# ScMnZn2

A geometry-optimized ScMnZn2 structure (PBE, Alexandria via LeMat-Bulk).

abc: 4.5307 4.5307 4.5307
angles: 60.00 60.00 60.00
Fractional coordinates of all 4 atoms:
Sc (0.0000, 0.0000, 0.0000)
Mn (0.7500, 0.7500, 0.7500)
Zn (0.2500, 0.2500, 0.2500)
Zn (0.5000, 0.5000, 0.5000)

For the records above, the corresponding formation energy values read 122.0; -38.1; -125.5; 135.4; -77.5; 44.2; -77.5; -31.1; 71.8; 351.7; 271.1; 1.9 meV/atom.